[1]
Entry from Alexandria: a relaxed GdNiHgPb crystal (PBE).

Geometry as extended XYZ:
```
4
Lattice="5.031 0.000 0.000 2.516 4.357 0.000 2.516 1.452 4.108" Properties=species:S:1:pos:R:3 pbc="T T T"
Gd 0.000 0.000 0.000
Ni 2.516 1.452 1.027
Pb 5.031 2.905 2.054
Hg 7.547 4.357 3.081
```

Fermi-level density of states, states/eV/atom: 0.7284
Energy of formation from the pure elements, eV/atom: -0.149
Total energy, eV/atom: -6.12

[2]
Entry from Alexandria: a relaxed NaNdTlSn crystal (PBE).

Geometry as extended XYZ:
```
4
Lattice="-4.065 1.811 3.100 -3.341 -3.521 2.421 0.191 -0.660 5.380" Properties=species:S:1:pos:R:3 pbc="T T T"
Nd 0.000 0.000 0.000
Tl -5.411 -1.778 8.176
Na -3.607 -1.185 5.451
Sn -1.804 -0.593 2.725
```

Relative energy among the computed polymorphs, eV per atom: 0.0530
Fermi-level density of states, states/eV/atom: 0.5137
Energy of formation from the pure elements, eV/atom: -0.333
Total energy, eV/atom: -3.45

Look up the total energy of the second one.
-3.45 eV/atom